Record 1
# YFe4Br (PBE-GGA, relaxed)
# Uncorrected formation energy ... 238 meV/atom
# Crystal system ... cubic
data_YFe4Br
_chemical_formula_sum 'Y4 Fe16 Br4'
_cell_length_a 7.3093
_cell_length_b 7.3093
_cell_length_c 7.3093
_cell_angle_alpha 90.00
_cell_angle_beta 90.00
_cell_angle_gamma 90.00
_space_group_name_H-M_alt 'F -4 3 m'
_space_group_IT_number 216
_space_group_name_Hall 'F -4 2 3'
loop_
_atom_site_label
_atom_site_fract_x
_atom_site_fract_y
_atom_site_fract_z
Y1 0.0000 0.0000 0.0000
Fe1 0.1283 0.1283 0.3717
Br1 0.2500 0.2500 0.7500



Record 2
# Y2FeBr (PBE-GGA, relaxed)
# Uncorrected formation energy ... -472 meV/atom
# Crystal system ... orthorhombic
data_Y2FeBr
_chemical_formula_sum 'Y2 Fe1 Br1'
_cell_length_a 3.3880
_cell_length_b 3.4370
_cell_length_c 8.2733
_cell_angle_alpha 90.00
_cell_angle_beta 90.00
_cell_angle_gamma 90.00
_space_group_name_H-M_alt 'P m m m'
_space_group_IT_number 47
loop_
_space_group_symop_operation_xyz
'x,y,z'
'-x,-y,-z'
'-x,-y,z'
'x,y,-z'
'x,-y,-z'
'-x,y,z'
'-x,y,-z'
'x,-y,z'
loop_
_atom_site_label
_atom_site_fract_x
_atom_site_fract_y
_atom_site_fract_z
Y1 0.0000 0.0000 0.1956
Fe1 0.5000 0.5000 0.0000
Br1 0.5000 0.0000 0.5000



Record 3
# Y2FeBr (PBE-GGA, relaxed)
# Uncorrected formation energy ... -2 meV/atom
# Crystal system ... tetragonal
data_Y2FeBr
_chemical_formula_sum 'Y4 Fe2 Br2'
_cell_length_a 4.0603
_cell_length_b 4.0603
_cell_length_c 11.5099
_cell_angle_alpha 90.00
_cell_angle_beta 90.00
_cell_angle_gamma 90.00
_space_group_name_H-M_alt 'I -4 m 2'
_space_group_IT_number 119
_space_group_name_Hall 'I -4 -2'
loop_
_atom_site_label
_atom_site_fract_x
_atom_site_fract_y
_atom_site_fract_z
Y1 0.0000 0.0000 0.0000
Y2 0.0000 0.5000 0.2500
Fe1 0.0000 0.0000 0.5000
Br1 0.0000 0.5000 0.7500



Record 4
# YFeBr (PBE-GGA, relaxed)
# Uncorrected formation energy ... -935 meV/atom
# Crystal system ... trigonal
data_YFeBr
_chemical_formula_sum 'Y6 Fe6 Br6'
_cell_length_a 3.8758
_cell_length_b 3.8758
_cell_length_c 34.9494
_cell_angle_alpha 90.00
_cell_angle_beta 90.00
_cell_angle_gamma 120.00
_space_group_name_H-M_alt 'R -3 m'
_space_group_IT_number 166
_space_group_name_Hall '-R 3 2"'
loop_
_atom_site_label
_atom_site_fract_x
_atom_site_fract_y
_atom_site_fract_z
Y1 0.0000 0.0000 0.0568
Fe1 0.0000 0.0000 0.3354
Br1 0.0000 0.0000 0.2215



Record 5
# Y2FeBr (PBE-GGA, relaxed)
# Uncorrected formation energy ... 38 meV/atom
# Crystal system ... cubic
data_Y2FeBr
_chemical_formula_sum 'Y8 Fe4 Br4'
_cell_length_a 7.0727
_cell_length_b 7.0727
_cell_length_c 7.0727
_cell_angle_alpha 90.00
_cell_angle_beta 90.00
_cell_angle_gamma 90.00
_space_group_name_H-M_alt 'F m -3 m'
_space_group_IT_number 225
_space_group_name_Hall '-F 4 2 3'
loop_
_atom_site_label
_atom_site_fract_x
_atom_site_fract_y
_atom_site_fract_z
Y1 0.2500 0.2500 0.2500
Fe1 0.0000 0.0000 0.0000
Br1 0.0000 0.0000 0.5000



Record 6
# Y2FeBr (PBE-GGA, relaxed)
# Uncorrected formation energy ... -79 meV/atom
# Crystal system ... orthorhombic
data_Y2FeBr
_chemical_formula_sum 'Y4 Fe2 Br2'
_cell_length_a 4.0564
_cell_length_b 5.7968
_cell_length_c 8.2147
_cell_angle_alpha 90.00
_cell_angle_beta 90.00
_cell_angle_gamma 90.00
_space_group_name_H-M_alt 'I m m m'
_space_group_IT_number 71
_space_group_name_Hall '-I 2 2'
loop_
_atom_site_label
_atom_site_fract_x
_atom_site_fract_y
_atom_site_fract_z
Y1 0.0000 0.0000 0.2349
Fe1 0.0000 0.5000 0.5000
Br1 0.0000 0.5000 0.0000